No. 1
Below is an optimized crystal structure of Sc2AlSbW, with properties calculated at the GGA-PBE level.

Unit cell a=4.9839 b=4.9839 c=4.6582 alpha=90.00 beta=90.00 gamma=90.00
With the nearest neighbours (Å) after each atom.
Fractional positions:
1 Sc 0.0000 0.5000 0.0000  2 Al 2.49
2 Sc 0.5000 0.0000 0.0000  2 Al 2.49
3 Al 0.0000 0.0000 0.0000  2 W 2.33, 4 Sc 2.49
4 Sb 0.5000 0.5000 0.5000  8 Sc 3.41, 4 W 3.52
5 W 0.0000 0.0000 0.5000  2 Al 2.33

## Properties
ρ in Mg/m³: 6.06
Formation energy from raw total energies in eV/atom: 0.575
E in eV/atom: -6.121
Symmetry: P4/mmm
D(E_F) in states/eV per atom: 0.79
Total moment in Bohr magnetons per cell: 0.25

No. 2
Below is an optimized crystal structure of AlSbSe, with properties calculated at the GGA-PBE level.

Unit cell a=3.7161 b=6.1992 c=12.8348 alpha=90.00 beta=90.00 gamma=90.00
With the nearest neighbours (Å) after each atom.
Fractional positions:
1 Al 0.0000 0.0000 0.0000  2 Se 2.42
2 Al 0.0000 0.5000 0.5000  2 Se 2.42
3 Al 0.5000 0.0000 0.5000  2 Se 2.42
4 Al 0.5000 0.5000 0.0000  2 Se 2.42
5 Sb 0.0000 0.0000 0.6673  2 Al 2.84
6 Sb 0.0000 0.5000 0.1673  2 Al 2.84
7 Sb 0.5000 0.0000 0.1673  2 Al 2.84
8 Sb 0.5000 0.5000 0.6673  2 Al 2.84
9 Se 0.0000 0.0000 0.3792  2 Al 2.42
10 Se 0.0000 0.5000 0.8792  2 Al 2.42
11 Se 0.5000 0.0000 0.8792  2 Al 2.42
12 Se 0.5000 0.5000 0.3792  2 Al 2.42

## Properties
ρ in Mg/m³: 5.12
Formation energy from raw total energies in eV/atom: -0.009
E in eV/atom: -3.792
Symmetry: Fmm2
D(E_F) in states/eV per atom: 0.38
Total moment in Bohr magnetons per cell: 0.00

No. 3
Below is an optimized crystal structure of AlSb2Se, with properties calculated at the GGA-PBE level.

Unit cell a=5.9502 b=5.9502 c=14.7062 alpha=90.00 beta=90.00 gamma=90.00
With the nearest neighbours (Å) after each atom.
Fractional positions:
1 Al 0.0000 0.0000 0.0000  4 Sb 2.75
2 Al 0.0000 0.5000 0.2500  4 Sb 2.75
3 Al 0.5000 0.0000 0.7500  4 Sb 2.75
4 Al 0.5000 0.5000 0.5000  4 Sb 2.75
5 Sb 0.2367 0.2500 0.1250  2 Al 2.75, 2 Se 2.84
6 Sb 0.2500 0.7367 0.3750  2 Al 2.75, 2 Se 2.84
7 Sb 0.2500 0.7633 0.8750  2 Al 2.75, 2 Se 2.84
8 Sb 0.2633 0.2500 0.6250  2 Al 2.75, 2 Se 2.84
9 Sb 0.7367 0.7500 0.6250  2 Al 2.75, 2 Se 2.84
10 Sb 0.7500 0.2367 0.8750  2 Al 2.75, 2 Se 2.84
11 Sb 0.7500 0.2633 0.3750  2 Al 2.75, 2 Se 2.84
12 Sb 0.7633 0.7500 0.1250  2 Al 2.75, 2 Se 2.84
13 Se 0.0000 0.0000 0.5000  4 Sb 2.84
14 Se 0.0000 0.5000 0.7500  4 Sb 2.84
15 Se 0.5000 0.0000 0.2500  4 Sb 2.84
16 Se 0.5000 0.5000 0.0000  4 Sb 2.84

## Properties
ρ in Mg/m³: 4.46
Formation energy from raw total energies in eV/atom: 0.184
E in eV/atom: -3.684
Symmetry: I-42d
D(E_F) in states/eV per atom: 0.31
Total moment in Bohr magnetons per cell: 0.00

No. 4
Below is an optimized crystal structure of AlSb2Se, with properties calculated at the GGA-PBE level.

Unit cell a=4.1633 b=4.1633 c=11.3477 alpha=90.00 beta=90.00 gamma=90.00
With the nearest neighbours (Å) after each atom.
Fractional positions:
1 Al 0.0000 0.0000 0.0000  4 Sb 2.94
2 Al 0.5000 0.5000 0.5000  4 Sb 2.94
3 Sb 0.0000 0.0000 0.5000  4 Al 2.94
4 Sb 0.0000 0.5000 0.7500  4 Se 2.94
5 Sb 0.5000 0.0000 0.2500  4 Se 2.94
6 Sb 0.5000 0.5000 0.0000  4 Al 2.94
7 Se 0.0000 0.5000 0.2500  4 Sb 2.94
8 Se 0.5000 0.0000 0.7500  4 Sb 2.94

## Properties
ρ in Mg/m³: 5.90
Formation energy from raw total energies in eV/atom: 0.216
E in eV/atom: -3.652
Symmetry: I-4m2
D(E_F) in states/eV per atom: 0.72
Total moment in Bohr magnetons per cell: 0.00

No. 5
Below is an optimized crystal structure of Al2SbSe, with properties calculated at the GGA-PBE level.

Unit cell a=3.9796 b=3.9796 c=19.3775 alpha=90.00 beta=90.00 gamma=120.00
With the nearest neighbours (Å) after each atom.
Fractional positions:
1 Al 0.0000 0.0000 0.2504  3 Se 2.80, 3 Sb 2.81
2 Al 0.0000 0.0000 0.7496  3 Se 2.80, 3 Sb 2.81
3 Al 0.3333 0.6667 0.4163  3 Se 2.80, 3 Sb 2.81
4 Al 0.3333 0.6667 0.9170  3 Se 2.80, 3 Sb 2.81
5 Al 0.6667 0.3333 0.0830  3 Se 2.80, 3 Sb 2.81
6 Al 0.6667 0.3333 0.5837  3 Se 2.80, 3 Sb 2.81
7 Sb 0.0000 0.0000 0.5000  6 Al 2.81
8 Sb 0.3333 0.6667 0.1667  6 Al 2.81
9 Sb 0.6667 0.3333 0.8333  6 Al 2.81
10 Se 0.0000 0.0000 0.0000  6 Al 2.80
11 Se 0.3333 0.6667 0.6667  6 Al 2.80
12 Se 0.6667 0.3333 0.3333  6 Al 2.80

## Properties
ρ in Mg/m³: 4.77
Formation energy from raw total energies in eV/atom: -0.199
E in eV/atom: -3.972
Symmetry: R-3m
D(E_F) in states/eV per atom: 0.22
Total moment in Bohr magnetons per cell: 0.00

No. 6
Below is an optimized crystal structure of AlSb2Se, with properties calculated at the GGA-PBE level.

Unit cell a=4.1187 b=4.1733 c=5.8664 alpha=90.00 beta=90.27 gamma=90.00
With the nearest neighbours (Å) after each atom.
Fractional positions:
1 Al 0.0000 0.0000 0.0000  6 Sb 2.93
2 Sb 0.0000 0.0000 0.5000  4 Se 2.93, 2 Al 2.93
3 Sb 0.5000 0.5000 0.0000  4 Al 2.93, 2 Se 2.93
4 Se 0.5000 0.5000 0.5000  6 Sb 2.93

## Properties
ρ in Mg/m³: 5.75
Formation energy from raw total energies in eV/atom: 0.006
E in eV/atom: -3.862
Symmetry: P2/m
D(E_F) in states/eV per atom: 0.76
Total moment in Bohr magnetons per cell: 0.00